[1]
Compound: Zr2TcTe
Source: Alexandria via LeMat-Bulk
Functional: GGA-PBE
Structure: optimized geometry

Calculated values
For the final energy, the calculation gives -7.883 eV/atom. The calculated density is 8.4 g/cm3. Its space-group type is Pmmm. As for the spin magnetization: 0.0 μB per formula unit. The energy relative to the elements, uncorrected comes out at -232 meV per atom.

Cell: 3.664 4.579 4.800 Å, 90.00 90.00 90.00°
Atoms (fractional coordinates):
Zr: 0.000 0.000 0.000
Zr: 0.000 0.500 0.500
Tc: 0.500 0.000 0.500
Te: 0.500 0.500 0.000

[2]
Compound: Pu2Fe2Ge2N
Source: Alexandria via LeMat-Bulk
Functional: GGA-PBE
Structure: optimized geometry

Calculated values
For the final energy, the calculation gives -9.554 eV/atom. The calculated density is 11.1 g/cm3. Its space-group type is C2/m. As for the spin magnetization: 10.6 μB per formula unit. The energy relative to the elements, uncorrected comes out at -533 meV per atom.

Cell: 5.730 5.730 6.785 Å, 124.51 124.51 39.80°
Atoms (fractional coordinates):
Pu: 0.053 0.053 0.282
Pu: 0.947 0.947 0.718
Fe: 0.308 0.308 0.921
Fe: 0.692 0.692 0.079
Ge: 0.334 0.334 0.294
Ge: 0.666 0.666 0.706
N: 0.500 0.500 0.000

[3]
Compound: LaPmHgRu
Source: Alexandria via LeMat-Bulk
Functional: GGA-PBE
Structure: optimized geometry

Calculated values
For the final energy, the calculation gives -5.071 eV/atom. The calculated density is 9.7 g/cm3. Its space-group type is F-43m. As for the spin magnetization: 0.0 μB per formula unit. The calculation puts the formation energy at -1.03 eV/f.u. Its polymorph energy (0 for the lowest one) is 87 meV/atom.

Cell: 5.220 5.220 5.220 Å, 60.00 60.00 60.00°
Atoms (fractional coordinates):
La: 0.000 0.000 0.000
Pm: 0.500 0.500 0.500
Hg: 0.750 0.750 0.750
Ru: 0.250 0.250 0.250

[4]
Compound: Sm2YSi
Source: Alexandria via LeMat-Bulk
Functional: GGA-PBE
Structure: optimized geometry

Calculated values
For the final energy, the calculation gives -5.581 eV/atom. The calculated density is 6.7 g/cm3. Its space-group type is P4/mmm. As for the spin magnetization: 0.0 μB per formula unit. Its polymorph energy (0 for the lowest one) is 0 meV/atom. The energy relative to the elements, uncorrected comes out at -249 meV per atom.

Cell: 4.665 4.665 4.775 Å, 90.00 90.00 90.00°
Atoms (fractional coordinates):
Sm: 0.000 0.500 0.000
Sm: 0.500 0.000 0.000
Y: 0.000 0.000 0.500
Si: 0.500 0.500 0.500